(1)
Below is a relaxed structure of BaMgAgPb2, with properties calculated at the GGA-PBE level.

DFT total energy: -15.379 eV/f.u.
N(E_F): 0.27 states/eV per atom
ΔE_f: -0.319 eV per atom

Lattice parameters (Å, degrees): 4.9009 4.9009 12.7019 90.00 90.00 90.00
Space group I-4m2 (No. 119)
Symmetry-distinct sites (fractional):
Ba  0.0000  0.0000  0.0000 x2
Mg  0.0000  0.5000  0.2500 x2
Ag  0.0000  0.5000  0.7500 x2
Pb  0.0000  0.0000  0.3792 x4


(2)
Below is a relaxed structure of DyTm2Se4, with properties calculated at the GGA-PBE level.

DFT total energy: -40.158 eV/f.u.
E_form (uncorrected): -1.811 eV per atom
N(E_F): 0.34 states/eV per atom

Lattice parameters (Å, degrees): 3.9362 13.2685 13.6734 90.00 90.00 90.00
Space group Cmcm (No. 63)
Symmetry-distinct sites (fractional):
Dy  0.0000  0.1270  0.2500 x4
Tm  0.0000  0.3697  0.0694 x8
Se  0.0000  0.0000  0.0000 x4
Se  0.0000  0.2761  0.6211 x8
Se  0.0000  0.4682  0.2500 x4